No. 1
Here is a geometry-optimized MgOsPt structure from Alexandria. Energies are from GGA-PBEsol.

Cell lengths 2.768, 2.768, 6.758 Å; angles 90.00, 90.00, 120.00 degrees
Positions (direct):
1 Mg 0.000 0.000 0.000
2 Os 0.333 0.667 0.661
3 Pt 0.667 0.333 0.332

Values from the calculation:
offset from the most stable computed form: 0.0 kJ/mol of atoms
E_form: 13 meV per atom
DFT total energy: -20.858 eV/cell

No. 2
Here is a geometry-optimized MgOsPt2 structure from Alexandria. Energies are from GGA-PBEsol.

Cell lengths 2.734, 4.530, 4.779 Å; angles 90.00, 90.00, 90.00 degrees
Positions (direct):
1 Mg 0.000 0.000 0.000
2 Os 0.000 0.500 0.623
3 Pt 0.500 0.000 0.503
4 Pt 0.500 0.500 0.131

Values from the calculation:
E_form: -256 meV per atom
DFT total energy: -28.883 eV/cell

No. 3
Here is a geometry-optimized Mg2OsPt structure from Alexandria. Energies are from GGA-PBEsol.

Cell lengths 4.531, 4.531, 2.932 Å; angles 90.00, 90.00, 90.00 degrees
Positions (direct):
1 Mg 0.000 0.500 0.000
2 Mg 0.500 0.000 0.000
3 Os 0.000 0.000 0.500
4 Pt 0.500 0.500 0.500

Values from the calculation:
E_form: -73 meV per atom
DFT total energy: -22.906 eV/cell

No. 4
Here is a geometry-optimized MgOsPt2 structure from Alexandria. Energies are from GGA-PBEsol.

Cell lengths 2.749, 2.749, 7.908 Å; angles 90.00, 90.00, 90.00 degrees
Positions (direct):
1 Mg 0.000 0.000 0.000
2 Os 0.000 0.000 0.500
3 Pt 0.500 0.500 0.259
4 Pt 0.500 0.500 0.741

Values from the calculation:
E_form: -236 meV per atom
DFT total energy: -28.802 eV/cell

No. 5
Here is a geometry-optimized Mg2OsPt structure from Alexandria. Energies are from GGA-PBEsol.

Cell lengths 5.787, 5.787, 5.787 Å; angles 152.24, 133.15, 55.33 degrees
Positions (direct):
1 Mg 0.000 0.000 0.000
2 Mg 0.696 0.196 0.500
3 Os 0.242 0.742 0.500
4 Pt 0.458 0.458 0.000

Values from the calculation:
E_form: -54 meV per atom
DFT total energy: -22.830 eV/cell

No. 6
Here is a geometry-optimized MgOsPt2 structure from Alexandria. Energies are from GGA-PBEsol.

Cell lengths 3.892, 3.892, 3.891 Å; angles 90.00, 90.00, 90.00 degrees
Positions (direct):
1 Mg 0.000 0.000 0.000
2 Os 0.500 0.500 0.000
3 Pt 0.000 0.500 0.500
4 Pt 0.500 0.000 0.500

Values from the calculation:
E_form: -77 meV per atom
DFT total energy: -28.170 eV/cell